# KMg2AlFeSi3H2O12 PBE+U optimized geometry
data_KMg2AlFeSi3H2O12
_symmetry_space_group_name_H-M 'P 1'
_symmetry_Int_Tables_number 1
_symmetry_space_group_name_Hall 'P 1'
_cell_length_a 5.375
_cell_length_b 5.379
_cell_length_c 10.722
_cell_angle_alpha 79.99
_cell_angle_beta 85.44
_cell_angle_gamma 60.03
loop_
_atom_site_label
_atom_site_type_symbol
_atom_site_fract_x
_atom_site_fract_y
_atom_site_fract_z
_atom_site_occupancy
K1 K 0.000 0.000 0.000 1
Mg1 Mg 0.330 0.827 0.531 1
Mg2 Mg 0.658 0.163 0.532 1
Al1 Al 0.330 0.406 0.792 1
Fe1 Fe 0.999 0.501 0.532 1
Si1 Si 0.332 0.251 0.264 1
Si2 Si 0.660 0.739 0.796 1
Si3 Si 0.662 0.588 0.264 1
H1 H 0.989 0.895 0.334 1
H2 H 0.990 0.111 0.715 1
O1 O 0.337 0.463 0.626 1
O2 O 0.342 0.188 0.417 1
O3 O 0.431 0.630 0.852 1
O4 O 0.494 0.941 0.204 1
O5 O 0.497 0.439 0.207 1
O6 O 0.575 0.038 0.852 1
O7 O 0.650 0.802 0.639 1
O8 O 0.657 0.540 0.417 1
O9 O 0.983 0.486 0.848 1
O10 O 0.990 0.884 0.425 1
O11 O 0.995 0.125 0.623 1
O12 O 0.996 0.443 0.208 1
# Volume, Å³ per cell: 264.44
# Total magnetic moment, μB per formula unit: 4.00

# KAl4Fe3H2O12 PBE+U optimized geometry
data_KAl4Fe3H2O12
_symmetry_space_group_name_H-M 'P 1'
_symmetry_Int_Tables_number 1
_symmetry_space_group_name_Hall 'P 1'
_cell_length_a 5.439
_cell_length_b 5.439
_cell_length_c 10.542
_cell_angle_alpha 95.08
_cell_angle_beta 95.08
_cell_angle_gamma 119.99
loop_
_atom_site_label
_atom_site_type_symbol
_atom_site_fract_x
_atom_site_fract_y
_atom_site_fract_z
_atom_site_occupancy
K1 K 0.000 0.000 0.000 1
Al1 Al 0.259 0.591 0.780 1
Al2 Al 0.409 0.741 0.220 1
Al3 Al 0.591 0.259 0.780 1
Al4 Al 0.741 0.409 0.220 1
Fe1 Fe 0.174 0.826 0.500 1
Fe2 Fe 0.500 0.500 0.500 1
Fe3 Fe 0.826 0.174 0.500 1
H1 H 0.090 0.090 0.307 1
H2 H 0.910 0.910 0.693 1
O1 O 0.064 0.683 0.186 1
O2 O 0.129 0.129 0.403 1
O3 O 0.199 0.528 0.595 1
O4 O 0.317 0.936 0.814 1
O5 O 0.445 0.445 0.182 1
O6 O 0.472 0.801 0.405 1
O7 O 0.528 0.199 0.595 1
O8 O 0.555 0.555 0.818 1
O9 O 0.683 0.064 0.186 1
O10 O 0.801 0.472 0.405 1
O11 O 0.871 0.871 0.597 1
O12 O 0.936 0.317 0.814 1
# Volume, Å³ per cell: 265.86
# Total magnetic moment, μB per formula unit: 15.23

no.,calculated total energy (eV/cell)
1,-150.21
2,-145.26